{"formula": "BeNiB2F", "functional": "PBE with a Hubbard U", "state": "optimized geometry", "lattice_angstrom": [[4.022, 0.000, 0.000], [0.000, 4.022, 0.000], [0.000, 0.000, 2.980]], "species": ["Be", "Ni", "B", "B", "F"], "fractional_positions": [[0.000, 0.000, 0.000], [0.500, 0.500, 0.000], [0.000, 0.500, 0.500], [0.500, 0.000, 0.500], [0.000, 0.000, 0.500]], "dft_energy_ev_per_atom": -3.08}